Record 1
VASP calculation (PBE) on a relaxed structure of Rb2GaSbI6.

Structure (extended XYZ):
```
10
Lattice="-4.332 4.332 6.121 4.332 -4.332 6.121 4.332 4.332 -6.121" Properties=species:S:1:pos:R:3 pbc="T T T"
Rb 4.332 0.000 3.060
Rb 0.000 4.332 3.060
Ga 0.000 0.000 0.000
Sb 0.000 0.000 6.121
I 0.000 0.000 3.084
I 2.186 2.186 0.000
I 2.146 -2.146 6.121
I -2.146 2.146 6.121
I 0.000 0.000 9.158
I 2.146 2.146 6.121
```

Summary:
crystal system = tetragonal
formation energy from raw total energies = -8.02 eV/f.u.
spin magnetization = 0.00 μB/atom
DFT total energy = -26.4 eV for the cell shown
DOS at the Fermi energy = 0.00 states/eV/cell
polymorph energy (0 for the lowest one) = 0.19 eV/f.u.

***

Record 2
VASP calculation (PBE) on a relaxed structure of RbGaSbI2.

Structure (extended XYZ):
```
5
Lattice="6.864 0.000 0.000 0.000 6.864 0.000 0.000 0.000 6.803" Properties=species:S:1:pos:R:3 pbc="T T T"
Rb 0.000 0.000 0.000
Ga 3.432 3.432 3.402
Sb 0.000 0.000 3.402
I 0.000 3.432 0.000
I 3.432 0.000 0.000
```

Summary:
crystal system = tetragonal
formation energy from raw total energies = 1.26 eV/f.u.
spin magnetization = 0.61 μB/atom
DFT total energy = -10.0 eV for the cell shown
polymorph energy (0 for the lowest one) = 3.17 eV/f.u.

***

Record 3
VASP calculation (PBE) on a relaxed structure of RbGaSb2I.

Structure (extended XYZ):
```
5
Lattice="6.517 0.000 0.000 0.000 6.517 0.000 0.000 0.000 6.672" Properties=species:S:1:pos:R:3 pbc="T T T"
Rb 0.000 0.000 0.000
Ga 3.259 3.259 3.336
Sb 0.000 3.259 0.000
Sb 3.259 0.000 0.000
I 0.000 0.000 3.336
```

Summary:
crystal system = tetragonal
formation energy from raw total energies = 4.37 eV/f.u.
spin magnetization = 0.63 μB/atom
DFT total energy = -9.4 eV for the cell shown
DOS at the Fermi energy = 3.80 states/eV/cell
polymorph energy (0 for the lowest one) = 4.73 eV/f.u.

***

Record 4
VASP calculation (PBE) on a relaxed structure of Rb2GaSbI6.

Structure (extended XYZ):
```
20
Lattice="8.434 0.000 0.000 0.000 8.799 0.000 -8.417 0.000 12.163" Properties=species:S:1:pos:R:3 pbc="T T T"
Rb -0.197 0.640 3.040
Rb -4.405 3.759 9.121
Rb 4.423 5.040 3.042
Rb 0.214 8.159 9.124
Ga -4.208 0.000 6.082
Ga 0.000 4.400 0.000
Sb 4.217 0.000 0.000
Sb 0.009 4.400 6.082
I -6.674 1.725 11.642
I -2.465 2.674 5.561
I -5.834 6.251 11.680
I -1.625 6.948 5.598
I -3.504 0.102 9.192
I 0.704 4.298 3.111
I -0.687 4.501 9.053
I 3.522 8.697 2.971
I 1.643 1.851 6.566
I 5.851 2.548 0.484
I 2.483 6.125 6.603
I 6.691 7.074 0.521
```

Summary:
crystal system = monoclinic
formation energy from raw total energies = -8.21 eV/f.u.
spin magnetization = 0.00 μB/atom
DFT total energy = -53.2 eV for the cell shown
polymorph energy (0 for the lowest one) = 0.00 eV/f.u.

***

Record 5
VASP calculation (PBE) on a relaxed structure of RbGaSb2I.

Structure (extended XYZ):
```
5
Lattice="5.337 0.000 0.000 0.000 5.337 0.000 0.000 0.000 7.023" Properties=species:S:1:pos:R:3 pbc="T T T"
Rb 0.000 0.000 0.000
Ga 2.669 2.669 3.512
Sb 0.000 2.669 3.512
Sb 2.669 0.000 3.512
I 2.669 2.669 0.000
```

Summary:
crystal system = tetragonal
formation energy from raw total energies = -0.36 eV/f.u.
spin magnetization = 0.00 μB/atom
DFT total energy = -14.1 eV for the cell shown
DOS at the Fermi energy = 4.78 states/eV/cell
polymorph energy (0 for the lowest one) = 0.00 eV/f.u.

***

Record 6
VASP calculation (PBE) on a relaxed structure of RbGaSbI2.

Structure (extended XYZ):
```
5
Lattice="6.196 0.000 0.000 0.000 6.196 0.000 0.000 0.000 5.466" Properties=species:S:1:pos:R:3 pbc="T T T"
Rb 0.000 0.000 0.000
Ga 3.098 3.098 2.733
Sb 3.098 3.098 0.000
I 0.000 3.098 2.733
I 3.098 0.000 2.733
```

Summary:
crystal system = tetragonal
formation energy from raw total energies = -1.90 eV/f.u.
spin magnetization = 0.37 μB/atom
DFT total energy = -13.1 eV for the cell shown
DOS at the Fermi energy = 1.45 states/eV/cell
polymorph energy (0 for the lowest one) = 0.00 eV/f.u.

***

Record 7
VASP calculation (PBE) on a relaxed structure of Rb2ScGaI6.

Structure (extended XYZ):
```
10
Lattice="4.338 2.505 6.773 -4.338 2.505 6.773 0.000 -5.009 6.773" Properties=species:S:1:pos:R:3 pbc="T T T"
Rb 0.000 0.000 4.900
Rb 0.000 0.000 15.419
Sc 0.000 0.000 0.000
Ga 0.000 0.000 10.159
I -2.651 0.812 8.438
I -2.029 -1.890 11.881
I 0.622 -2.702 8.438
I -0.622 2.702 11.881
I 2.029 1.890 8.438
I 2.651 -0.812 11.881
```

Summary:
crystal system = trigonal
formation energy from raw total energies = -11.58 eV/f.u.
spin magnetization = 0.00 μB/atom
DFT total energy = -32.2 eV for the cell shown
DOS at the Fermi energy = 0.00 states/eV/cell

***

Record 8
VASP calculation (PBE) on a relaxed structure of Rb2GaSiI6.

Structure (extended XYZ):
```
10
Lattice="-4.159 4.159 5.862 4.159 -4.159 5.862 4.159 4.159 -5.862" Properties=species:S:1:pos:R:3 pbc="T T T"
Rb 4.159 0.000 2.931
Rb 0.000 4.159 2.931
Ga 0.000 0.000 0.000
Si 0.000 0.000 5.862
I 0.000 0.000 3.017
I 2.142 2.142 0.000
I 2.017 -2.017 5.862
I -2.017 2.017 5.862
I 0.000 0.000 8.706
I 2.017 2.017 5.862
```

Summary:
crystal system = tetragonal
formation energy from raw total energies = -7.17 eV/f.u.
spin magnetization = 0.00 μB/atom
DFT total energy = -26.9 eV for the cell shown
DOS at the Fermi energy = 3.36 states/eV/cell

***

Record 9
VASP calculation (PBE) on a relaxed structure of Rb2SmGaI6.

Structure (extended XYZ):
```
10
Lattice="4.389 2.534 7.250 -4.389 2.534 7.250 0.000 -5.068 7.250" Properties=species:S:1:pos:R:3 pbc="T T T"
Rb 0.000 0.000 0.000
Rb 0.000 0.000 10.732
Sm 0.000 0.000 15.528
Ga 0.000 0.000 4.732
I -1.886 -3.128 9.997
I -2.453 0.523 13.679
I -1.766 3.197 9.997
I 0.773 -2.386 13.679
I 3.652 -0.069 9.997
I 1.680 1.863 13.679
```

Summary:
crystal system = trigonal
formation energy from raw total energies = -12.35 eV/f.u.
spin magnetization = 0.00 μB/atom
DFT total energy = -31.3 eV for the cell shown
DOS at the Fermi energy = 0.00 states/eV/cell

***

Record 10
VASP calculation (PBE) on a relaxed structure of RbSmGa2I6.

Structure (extended XYZ):
```
10
Lattice="4.180 2.413 7.633 -4.180 2.413 7.633 0.000 -4.826 7.633" Properties=species:S:1:pos:R:3 pbc="T T T"
Rb 0.000 0.000 0.000
Sm 0.000 0.000 11.144
Ga 0.000 0.000 6.904
Ga 0.000 0.000 18.545
I -2.384 -0.385 9.139
I -1.340 -2.264 12.755
I 1.526 -1.872 9.139
I -1.290 2.293 12.755
I 0.859 2.257 9.139
I 2.631 -0.029 12.755
```

Summary:
crystal system = trigonal
formation energy from raw total energies = -9.98 eV/f.u.
spin magnetization = 0.00 μB/atom
DFT total energy = -31.0 eV for the cell shown
DOS at the Fermi energy = 0.00 states/eV/cell

***

Record 11
VASP calculation (PBE) on a relaxed structure of RbGaSnI4.

Structure (extended XYZ):
```
14
Lattice="8.321 0.000 0.000 0.000 8.758 0.000 -2.725 0.000 9.180" Properties=species:S:1:pos:R:3 pbc="T T T"
Rb 1.846 2.189 0.591
Rb 3.750 6.568 8.590
Ga 1.202 2.189 5.524
Ga 4.394 6.568 3.657
Sn -1.093 6.568 4.565
Sn 6.689 2.189 4.615
I -1.873 4.409 6.829
I -1.873 8.728 6.829
I 3.247 6.568 1.219
I 2.143 6.568 5.299
I 3.453 2.189 3.881
I 2.349 2.189 7.961
I 7.469 0.030 2.352
I 7.469 4.349 2.352
```

Summary:
crystal system = monoclinic
formation energy from raw total energies = -4.93 eV/f.u.
spin magnetization = 0.00 μB/atom
DFT total energy = -38.3 eV for the cell shown
DOS at the Fermi energy = 0.00 states/eV/cell

***

Record 12
VASP calculation (PBE) on a relaxed structure of Rb2TbGaI6.

Structure (extended XYZ):
```
10
Lattice="4.372 2.524 7.180 -4.372 2.524 7.180 0.000 -5.048 7.180" Properties=species:S:1:pos:R:3 pbc="T T T"
Rb 0.000 0.000 0.000
Rb 0.000 0.000 10.620
Tb 0.000 0.000 15.411
Ga 0.000 0.000 4.718
I -1.914 -3.122 9.935
I -2.420 0.539 13.600
I -1.747 3.219 9.935
I 0.743 -2.365 13.600
I 3.661 -0.097 9.935
I 1.677 1.826 13.600
```

Summary:
crystal system = trigonal
formation energy from raw total energies = -12.32 eV/f.u.
spin magnetization = 0.00 μB/atom
DFT total energy = -31.2 eV for the cell shown
DOS at the Fermi energy = 0.00 states/eV/cell

***

Record 13
VASP calculation (PBE) on a relaxed structure of RbTbGa2I6.

Structure (extended XYZ):
```
10
Lattice="4.160 2.402 7.608 -4.160 2.402 7.608 0.000 -4.804 7.608" Properties=species:S:1:pos:R:3 pbc="T T T"
Rb 0.000 0.000 0.000
Tb 0.000 0.000 11.131
Ga 0.000 0.000 6.920
Ga 0.000 0.000 18.533
I -2.368 -0.357 9.175
I -1.300 -2.229 12.740
I 1.493 -1.873 9.175
I -1.280 2.240 12.740
I 0.875 2.229 9.175
I 2.580 -0.012 12.740
```

Summary:
crystal system = trigonal
formation energy from raw total energies = -9.93 eV/f.u.
spin magnetization = 0.00 μB/atom
DFT total energy = -30.9 eV for the cell shown
DOS at the Fermi energy = 0.00 states/eV/cell

***

Record 14
VASP calculation (PBE) on a relaxed structure of Rb2GaTcI6.

Structure (extended XYZ):
```
10
Lattice="0.000 5.894 5.894 5.894 0.000 5.894 5.894 5.894 0.000" Properties=species:S:1:pos:R:3 pbc="T T T"
Rb 2.947 2.947 2.947
Rb 8.842 8.842 8.842
Ga 0.000 0.000 0.000
Tc 5.894 5.894 5.894
I 5.894 5.894 3.126
I 5.894 3.126 5.894
I 8.662 5.894 5.894
I 3.126 5.894 5.894
I 5.894 8.662 5.894
I 5.894 5.894 8.662
```

Summary:
crystal system = cubic
formation energy from raw total energies = -6.31 eV/f.u.
spin magnetization = 0.20 μB/atom
DFT total energy = -30.9 eV for the cell shown
DOS at the Fermi energy = 8.97 states/eV/cell

***

Record 15
VASP calculation (PBE) on a relaxed structure of RbGaTe2I.

Structure (extended XYZ):
```
5
Lattice="6.695 0.000 0.000 0.000 6.695 0.000 0.000 0.000 6.735" Properties=species:S:1:pos:R:3 pbc="T T T"
Rb 0.000 0.000 0.000
Ga 3.347 3.347 3.368
Te 0.000 3.347 0.000
Te 3.347 0.000 0.000
I 0.000 0.000 3.368
```

Summary:
crystal system = tetragonal
formation energy from raw total energies = 2.32 eV/f.u.
spin magnetization = 0.61 μB/atom
DFT total energy = -9.5 eV for the cell shown
DOS at the Fermi energy = 6.67 states/eV/cell
polymorph energy (0 for the lowest one) = 4.25 eV/f.u.

***

Record 16
VASP calculation (PBE) on a relaxed structure of RbGaTe2I.

Structure (extended XYZ):
```
5
Lattice="5.455 0.000 0.000 0.000 5.455 0.000 0.000 0.000 6.425" Properties=species:S:1:pos:R:3 pbc="T T T"
Rb 0.000 0.000 0.000
Ga 2.727 2.727 3.212
Te 0.000 2.727 3.212
Te 2.727 0.000 3.212
I 2.727 2.727 0.000
```

Summary:
crystal system = tetragonal
formation energy from raw total energies = -1.93 eV/f.u.
spin magnetization = 0.00 μB/atom
DFT total energy = -13.8 eV for the cell shown
DOS at the Fermi energy = 7.82 states/eV/cell
polymorph energy (0 for the lowest one) = 0.00 eV/f.u.

***

Record 17
VASP calculation (PBE) on a relaxed structure of RbThGa2I8.

Structure (extended XYZ):
```
12
Lattice="6.838 0.000 0.000 0.171 7.956 0.000 0.016 0.001 10.755" Properties=species:S:1:pos:R:3 pbc="T T T"
Rb 0.000 0.000 0.000
Th 0.008 0.000 5.377
Ga 3.507 3.979 2.913
Ga 3.518 3.978 7.842
I 1.776 4.126 0.000
I 1.809 5.334 5.382
I 1.732 1.199 7.623
I 1.733 1.191 3.128
I 5.292 6.766 7.626
I 5.293 6.758 3.132
I 5.217 2.623 5.373
I 5.249 3.830 10.755
```

Summary:
crystal system = triclinic
formation energy from raw total energies = -10.00 eV/f.u.
spin magnetization = 0.00 μB/atom
DFT total energy = -36.8 eV for the cell shown
DOS at the Fermi energy = 1.88 states/eV/cell

***

Record 18
VASP calculation (PBE) on a relaxed structure of Rb2TiGaI6.

Structure (extended XYZ):
```
10
Lattice="8.306 0.000 0.000 3.899 7.345 0.000 3.910 2.332 6.969" Properties=species:S:1:pos:R:3 pbc="T T T"
Rb 3.978 2.392 1.721
Rb 12.138 7.284 5.248
Ti 0.000 0.000 0.000
Ga 8.058 4.838 3.484
I 5.596 6.397 2.072
I 7.847 7.089 5.797
I 6.173 3.045 5.410
I 9.943 6.632 1.559
I 8.269 2.588 1.172
I 10.519 3.280 4.897
```

Summary:
crystal system = triclinic
formation energy from raw total energies = -9.45 eV/f.u.
spin magnetization = 0.10 μB/atom
DFT total energy = -31.6 eV for the cell shown
DOS at the Fermi energy = 6.76 states/eV/cell

***

Record 19
VASP calculation (PBE) on a relaxed structure of Rb3Tl2GaI6.

Structure (extended XYZ):
```
12
Lattice="11.121 -2.554 0.000 11.121 2.554 0.000 -2.331 0.000 9.947" Properties=species:S:1:pos:R:3 pbc="T T T"
Rb 0.000 0.000 0.000
Rb 5.808 0.000 6.646
Rb 14.104 0.000 3.301
Tl 7.054 0.000 1.705
Tl 12.857 0.000 8.242
Ga -1.165 0.000 4.974
I 2.144 0.000 5.790
I 3.573 0.000 0.745
I 10.458 0.000 2.720
I 9.453 0.000 7.228
I 16.339 0.000 9.202
I 17.768 0.000 4.157
```

Summary:
crystal system = monoclinic
formation energy from raw total energies = -12.17 eV/f.u.
spin magnetization = 0.00 μB/atom
DFT total energy = -32.1 eV for the cell shown
DOS at the Fermi energy = 0.00 states/eV/cell

***

Record 20
VASP calculation (PBE) on a relaxed structure of RbTlGaI3.

Structure (extended XYZ):
```
12
Lattice="9.927 0.000 0.000 0.000 5.165 0.000 -3.756 0.000 11.217" Properties=species:S:1:pos:R:3 pbc="T T T"
Rb 1.193 1.291 2.504
Rb 4.978 3.874 8.713
Tl -0.093 3.874 9.839
Tl 6.264 1.291 1.378
Ga -0.872 1.291 7.097
Ga 7.043 3.874 4.120
I -2.473 1.291 9.949
I -0.023 3.874 5.343
I 3.878 3.874 1.946
I 2.294 1.291 9.271
I 6.195 1.291 5.874
I 8.644 3.874 1.268
```

Summary:
crystal system = monoclinic
formation energy from raw total energies = -4.75 eV/f.u.
spin magnetization = 0.00 μB/atom
DFT total energy = -31.5 eV for the cell shown
DOS at the Fermi energy = 0.00 states/eV/cell

***

Record 21
VASP calculation (PBE) on a relaxed structure of RbTlGa2I8.

Structure (extended XYZ):
```
12
Lattice="7.611 0.000 0.000 -3.806 6.592 0.000 0.000 0.000 11.705" Properties=species:S:1:pos:R:3 pbc="T T T"
Rb 0.000 0.000 0.000
Tl 0.000 0.000 5.853
Ga 0.000 4.394 9.035
Ga 3.806 2.197 2.670
I -1.283 2.286 8.224
I 0.000 4.394 11.608
I -1.184 6.560 8.224
I 1.338 2.254 3.481
I 2.467 4.337 8.224
I 4.990 0.032 3.481
I 3.806 2.197 0.097
I 5.089 4.306 3.481
```

Summary:
crystal system = trigonal
formation energy from raw total energies = -8.52 eV/f.u.
spin magnetization = 0.00 μB/atom
DFT total energy = -30.3 eV for the cell shown
DOS at the Fermi energy = 0.00 states/eV/cell

***

Record 22
VASP calculation (PBE) on a relaxed structure of Rb3TlGa2I6.

Structure (extended XYZ):
```
12
Lattice="11.023 -2.527 0.000 11.023 2.527 0.000 -2.347 0.000 9.846" Properties=species:S:1:pos:R:3 pbc="T T T"
Rb 0.000 0.000 0.000
Rb 5.836 0.000 6.560
Rb 13.864 0.000 3.286
Tl -1.173 0.000 4.923
Ga 6.884 0.000 1.604
Ga 12.816 0.000 8.243
I 2.243 0.000 5.965
I 3.683 0.000 0.666
I 10.254 0.000 2.480
I 9.446 0.000 7.366
I 16.017 0.000 9.181
I 17.456 0.000 3.882
```

Summary:
crystal system = monoclinic
formation energy from raw total energies = -11.45 eV/f.u.
spin magnetization = 0.00 μB/atom
DFT total energy = -32.1 eV for the cell shown
DOS at the Fermi energy = 0.00 states/eV/cell

***

Record 23
VASP calculation (PBE) on a relaxed structure of Rb2TlGaI4.

Structure (extended XYZ):
```
8
Lattice="8.791 0.000 0.000 0.000 5.084 0.000 -2.938 0.000 8.307" Properties=species:S:1:pos:R:3 pbc="T T T"
Rb 0.000 0.000 0.000
Rb -1.469 2.542 4.153
Tl 2.927 0.000 4.153
Ga 4.396 2.542 0.000
I 1.640 2.542 2.034
I 0.158 0.000 6.390
I 5.695 0.000 1.917
I 4.214 2.542 6.272
```

Summary:
crystal system = monoclinic
formation energy from raw total energies = -7.86 eV/f.u.
spin magnetization = 0.00 μB/atom
DFT total energy = -21.4 eV for the cell shown
DOS at the Fermi energy = 0.00 states/eV/cell